1.
First-principles (PBE-GGA) data for an optimized crystal structure of Pm3AlS6, as listed in OQMD.

Cell: 10.949 13.592 6.585 Å, 90.00 90.00 90.00°
Space group Cmc2_1 (No. 36)
One atom of each set of equivalent atoms:
Pm1 0.000 0.101 0.000 (multiplicity 4)
Pm2 0.184 0.399 0.084 (multiplicity 8)
Al1 0.000 0.302 0.626 (multiplicity 4)
S1 0.000 0.283 0.284 (multiplicity 4)
S2 0.000 0.458 0.760 (multiplicity 4)
S3 0.162 0.026 0.292 (multiplicity 8)
S4 0.162 0.237 0.791 (multiplicity 8)

* final energy: -6.121 eV/atom
* total magnetic moment: 0.0 μB/cell
* theoretical density: 4.44 Mg/m³



2.
First-principles (PBE-GGA) data for an optimized crystal structure of HfMgCoAs, as listed in OQMD.

Cell: 6.390 6.390 6.390 Å, 90.00 90.00 90.00°
Space group F-43m (No. 216)
One atom of each set of equivalent atoms:
Hf1 0.000 0.000 0.000 (multiplicity 4)
Mg1 0.250 0.250 0.750 (multiplicity 4)
Co1 0.000 0.000 0.500 (multiplicity 4)
As1 0.250 0.250 0.250 (multiplicity 4)

* total magnetic moment: 3.3 μB/cell
* theoretical density: 8.57 Mg/m³
* polymorph energy (0 for the lowest one): 0.0324 eV per atom



3.
First-principles (PBE-GGA) data for an optimized crystal structure of DyHfSi, as listed in OQMD.

Cell: 6.545 6.545 6.545 Å, 90.00 90.00 90.00°
Space group F-43m (No. 216)
One atom of each set of equivalent atoms:
Dy1 0.000 0.000 0.000 (multiplicity 4)
Hf1 0.000 0.000 0.500 (multiplicity 4)
Si1 0.250 0.250 0.250 (multiplicity 4)

* final energy: -6.921 eV/atom
* total magnetic moment: 0.0 μB/cell
* theoretical density: 8.75 Mg/m³



4.
First-principles (PBE-GGA) data for an optimized crystal structure of CsPtAu, as listed in OQMD.

Cell: 7.285 7.285 7.285 Å, 90.00 90.00 90.00°
Space group F-43m (No. 216)
One atom of each set of equivalent atoms:
Cs1 0.000 0.000 0.000 (multiplicity 4)
Pt1 0.250 0.250 0.250 (multiplicity 4)
Au1 0.250 0.250 0.750 (multiplicity 4)

* total magnetic moment: 0.0 μB/cell
* theoretical density: 9.02 Mg/m³
* polymorph energy (0 for the lowest one): 0.6145 eV per atom



5.
First-principles (PBE-GGA) data for an optimized crystal structure of SrTmPdSe3, as listed in OQMD.

Cell: 4.004 14.149 10.359 Å, 90.00 90.00 90.00°
Space group Cmcm (No. 63)
One atom of each set of equivalent atoms:
Sr1 0.000 0.241 0.250 (multiplicity 4)
Tm1 0.000 0.000 0.000 (multiplicity 4)
Pd1 0.000 0.477 0.750 (multiplicity 4)
Se1 0.000 0.086 0.750 (multiplicity 4)
Se2 0.000 0.360 0.557 (multiplicity 8)

* total magnetic moment: 0.1 μB/cell
* theoretical density: 6.79 Mg/m³
* polymorph energy (0 for the lowest one): 0.0265 eV per atom



6.
First-principles (PBE-GGA) data for an optimized crystal structure of LiLuNiGe, as listed in OQMD.

Cell: 6.300 6.300 6.300 Å, 90.00 90.00 90.00°
Space group F-43m (No. 216)
One atom of each set of equivalent atoms:
Li1 0.000 0.000 0.000 (multiplicity 4)
Lu1 0.250 0.250 0.750 (multiplicity 4)
Ni1 0.250 0.250 0.250 (multiplicity 4)
Ge1 0.000 0.000 0.500 (multiplicity 4)

* total magnetic moment: 0.0 μB/cell
* theoretical density: 8.32 Mg/m³
* polymorph energy (0 for the lowest one): 0.1819 eV per atom



7.
First-principles (PBE-GGA) data for an optimized crystal structure of Ba2BiIr, as listed in OQMD.

Cell: 7.793 7.793 7.793 Å, 90.00 90.00 90.00°
Space group F-43m (No. 216)
One atom of each set of equivalent atoms:
Ba1 0.000 0.000 0.000 (multiplicity 4)
Ba2 0.250 0.250 0.250 (multiplicity 4)
Bi1 0.000 0.000 0.500 (multiplicity 4)
Ir1 0.250 0.250 0.750 (multiplicity 4)

* final energy: -4.204 eV/atom
* total magnetic moment: 0.0 μB/cell
* theoretical density: 9.48 Mg/m³



8.
First-principles (PBE-GGA) data for an optimized crystal structure of YMgCoGe, as listed in OQMD.

Cell: 6.656 6.656 6.656 Å, 90.00 90.00 90.00°
Space group F-43m (No. 216)
One atom of each set of equivalent atoms:
Y1 0.000 0.000 0.000 (multiplicity 4)
Mg1 0.000 0.000 0.500 (multiplicity 4)
Co1 0.250 0.250 0.750 (multiplicity 4)
Ge1 0.250 0.250 0.250 (multiplicity 4)

* total magnetic moment: 4.5 μB/cell
* theoretical density: 5.51 Mg/m³
* polymorph energy (0 for the lowest one): 0.0000 eV per atom



9.
First-principles (PBE-GGA) data for an optimized crystal structure of BaTmPa, as listed in OQMD.

Cell: 7.839 7.839 7.839 Å, 90.00 90.00 90.00°
Space group F-43m (No. 216)
One atom of each set of equivalent atoms:
Ba1 0.000 0.000 0.000 (multiplicity 4)
Tm1 0.250 0.250 0.250 (multiplicity 4)
Pa1 0.000 0.000 0.500 (multiplicity 4)

* total magnetic moment: 7.3 μB/cell
* theoretical density: 7.41 Mg/m³
* polymorph energy (0 for the lowest one): 0.0000 eV per atom



10.
First-principles (PBE-GGA) data for an optimized crystal structure of LiZrTe4Au3, as listed in OQMD.

Cell: 6.446 6.446 6.446 Å, 90.00 90.00 90.00°
Space group P-43m (No. 215)
One atom of each set of equivalent atoms:
Li1 0.000 0.000 0.000 (multiplicity 1)
Zr1 0.500 0.500 0.500 (multiplicity 1)
Te1 0.249 0.249 0.249 (multiplicity 4)
Au1 0.000 0.500 0.500 (multiplicity 3)

* total magnetic moment: 0.0 μB/cell
* theoretical density: 7.44 Mg/m³
* polymorph energy (0 for the lowest one): 0.0000 eV per atom



11.
First-principles (PBE-GGA) data for an optimized crystal structure of DyHoCuSi3, as listed in OQMD.

Cell: 7.991 8.025 13.834 Å, 90.00 90.00 90.00°
Space group Fmmm (No. 69)
One atom of each set of equivalent atoms:
Dy1 0.250 0.250 0.250 (multiplicity 8)
Ho1 0.000 0.244 0.000 (multiplicity 8)
Cu1 0.000 0.000 0.333 (multiplicity 8)
Si1 0.000 0.000 0.169 (multiplicity 8)
Si2 0.244 0.000 0.416 (multiplicity 16)

* final energy: -5.592 eV/atom
* total magnetic moment: 0.0 μB/cell
* theoretical density: 7.12 Mg/m³



12.
First-principles (PBE-GGA) data for an optimized crystal structure of BaErIr, as listed in OQMD.

Cell: 7.124 7.124 7.124 Å, 90.00 90.00 90.00°
Space group F-43m (No. 216)
One atom of each set of equivalent atoms:
Ba1 0.000 0.000 0.000 (multiplicity 4)
Er1 0.000 0.000 0.500 (multiplicity 4)
Ir1 0.250 0.250 0.250 (multiplicity 4)

* total magnetic moment: 0.0 μB/cell
* theoretical density: 9.13 Mg/m³
* polymorph energy (0 for the lowest one): 0.0000 eV per atom



13.
First-principles (PBE-GGA) data for an optimized crystal structure of TlZnW, as listed in OQMD.

Cell: 6.437 6.437 6.437 Å, 90.00 90.00 90.00°
Space group F-43m (No. 216)
One atom of each set of equivalent atoms:
Tl1 0.000 0.000 0.000 (multiplicity 4)
Zn1 0.000 0.000 0.500 (multiplicity 4)
W1 0.250 0.250 0.250 (multiplicity 4)

* total magnetic moment: 7.0 μB/cell
* theoretical density: 11.30 Mg/m³
* polymorph energy (0 for the lowest one): 0.0000 eV per atom



14.
First-principles (PBE-GGA) data for an optimized crystal structure of GdTmAl2Pd4, as listed in OQMD.

Cell: 4.3613 4.3613 9.1075 Å, 90.00 90.00 120.00°
Space group P-6m2 (No. 187)
One atom of each set of equivalent atoms:
Gd1 0.0000 0.0000 0.0000 (multiplicity 1)
Tm1 0.6667 0.3333 0.5000 (multiplicity 1)
Al1 0.3333 0.6667 0.2520 (multiplicity 2)
Pd1 0.0000 0.0000 0.3340 (multiplicity 2)
Pd2 0.6667 0.3333 0.1736 (multiplicity 2)

* final energy: -5.612 eV/atom
* total magnetic moment: 0.0 μB/cell
* theoretical density: 8.92 Mg/m³



15.
First-principles (PBE-GGA) data for an optimized crystal structure of CsCoCuSe3, as listed in OQMD.

Cell: 8.970 3.753 9.828 Å, 90.00 116.28 90.00°
Space group P2_1/m (No. 11)
One atom of each set of equivalent atoms:
Cs1 0.029 0.250 0.255 (multiplicity 2)
Co1 0.476 0.250 0.147 (multiplicity 2)
Cu1 0.477 0.750 0.404 (multiplicity 2)
Se1 0.294 0.750 0.137 (multiplicity 2)
Se2 0.341 0.750 0.576 (multiplicity 2)
Se3 0.366 0.250 0.877 (multiplicity 2)

* final energy: -4.161 eV/atom
* total magnetic moment: 0.0 μB/cell
* theoretical density: 5.51 Mg/m³



16.
First-principles (PBE-GGA) data for an optimized crystal structure of Ta4GeC2N, as listed in OQMD.

Cell: 3.1776 3.1776 11.6880 Å, 90.00 90.00 120.00°
Space group P-6m2 (No. 187)
One atom of each set of equivalent atoms:
Ta1 0.0000 0.0000 0.1238 (multiplicity 2)
Ta2 0.3333 0.6667 0.3246 (multiplicity 2)
Ge1 0.0000 0.0000 0.5000 (multiplicity 1)
C1 0.6667 0.3333 0.2256 (multiplicity 2)
N1 0.3333 0.6667 0.0000 (multiplicity 1)

* final energy: -10.464 eV/atom
* total magnetic moment: 0.0 μB/cell
* theoretical density: 13.56 Mg/m³



17.
First-principles (PBE-GGA) data for an optimized crystal structure of LuAuS2, as listed in OQMD.

Cell: 12.842 4.012 7.108 Å, 90.00 90.00 90.00°
Space group Pnma (No. 62)
One atom of each set of equivalent atoms:
Lu1 0.144 0.250 0.012 (multiplicity 4)
Au1 0.102 0.750 0.516 (multiplicity 4)
S1 0.048 0.750 0.828 (multiplicity 4)
S2 0.205 0.750 0.245 (multiplicity 4)

* final energy: -5.293 eV/atom
* total magnetic moment: 0.0 μB/cell
* theoretical density: 7.91 Mg/m³



18.
First-principles (PBE-GGA) data for an optimized crystal structure of SrZn2Co, as listed in OQMD.

Cell: 6.742 6.742 6.742 Å, 90.00 90.00 90.00°
Space group F-43m (No. 216)
One atom of each set of equivalent atoms:
Sr1 0.000 0.000 0.000 (multiplicity 4)
Zn1 0.000 0.000 0.500 (multiplicity 4)
Zn2 0.250 0.250 0.750 (multiplicity 4)
Co1 0.250 0.250 0.250 (multiplicity 4)

* final energy: -2.492 eV/atom
* total magnetic moment: 4.0 μB/cell
* theoretical density: 6.01 Mg/m³



19.
First-principles (PBE-GGA) data for an optimized crystal structure of AlZnInTe4, as listed in OQMD.

Cell: 6.109 6.109 12.460 Å, 90.00 90.00 90.00°
Space group I-4 (No. 82)
One atom of each set of equivalent atoms:
Al1 0.000 0.000 0.000 (multiplicity 2)
Zn1 0.000 0.000 0.500 (multiplicity 2)
In1 0.000 0.500 0.750 (multiplicity 2)
Te1 0.220 0.274 0.127 (multiplicity 8)

* final energy: -3.322 eV/atom
* theoretical density: 5.13 Mg/m³



20.
First-principles (PBE-GGA) data for an optimized crystal structure of CoGeMoPt, as listed in OQMD.

Cell: 6.103 6.103 6.103 Å, 90.00 90.00 90.00°
Space group F-43m (No. 216)
One atom of each set of equivalent atoms:
Co1 0.000 0.000 0.000 (multiplicity 4)
Ge1 0.250 0.250 0.750 (multiplicity 4)
Mo1 0.000 0.000 0.500 (multiplicity 4)
Pt1 0.250 0.250 0.250 (multiplicity 4)

* total magnetic moment: 0.1 μB/cell
* theoretical density: 12.35 Mg/m³
* polymorph energy (0 for the lowest one): 0.0000 eV per atom